Here is a relaxed KAl crystal from Alexandria via LeMat-Bulk. Energies are from PBE.

It has space group R-3m (No. 166, hexagonal axes), with a = 3.4445 Å, b = 3.4445 Å, c = 18.1316 Å, α = 90.00°, β = 90.00° and γ = 120.00°. The distinct sites, in fractional coordinates, are K at (0.0000, 0.0000, 0.0000) and Al at (0.0000, 0.0000, 0.5000).

The value obtained for the energy above the most stable polymorph in this dataset is 0.86 eV/f.u. The calculation puts the energy of formation at 545 meV per atom. The theoretical density is 1767 kg/m3. The calculation puts the density of states at the Fermi level at 2.451 states/eV per cell. The calculation puts the total energy at -1.875 eV/atom.